Entry 1:
MgMo2Pb, optimized geometry, DFT GGA-PBE; formation enthalpy at 0 K = 0.589 eV/atom; SG = P4/mmm; offset from the most stable computed form = 0.304 eV per atom
1.0
3.997 0.000 0.000
0.000 3.997 0.000
0.000 0.000 4.584
Mg Mo Pb
1 2 1
direct
0.000 0.000 0.000
0.000 0.500 0.500
0.500 0.000 0.500
0.500 0.500 0.000

---

Entry 2:
CdSnCl2, optimized geometry, DFT GGA-PBE; energy relative to the elements, uncorrected = -0.38 eV/atom; SG = Fm-3m; offset from the most stable computed form = 0.157 eV per atom
1.0
0.000 3.712 3.712
3.712 0.000 3.712
3.712 3.712 0.000
Cd Sn Cl
1 1 2
direct
0.000 0.000 0.000
0.500 0.500 0.500
0.250 0.250 0.250
0.750 0.750 0.750

---

Entry 3:
CePuHf2, optimized geometry, DFT GGA-PBE; formation enthalpy at 0 K = 0.187 eV/atom; SG = R-3m; offset from the most stable computed form = 0.059 eV per atom
1.0
1.617 0.934 10.724
-1.617 0.934 10.724
0.000 -1.867 10.724
Ce Pu Hf
1 1 2
direct
0.000 0.000 0.000
0.500 0.500 0.500
0.248 0.248 0.248
0.752 0.752 0.752

---

Entry 4:
Ac2ScPb, optimized geometry, DFT GGA-PBE; formation enthalpy at 0 K = -0.177 eV/atom; SG = P4/mmm; offset from the most stable computed form = 0.000 eV per atom
1.0
5.226 0.000 0.000
0.000 5.226 0.000
0.000 0.000 4.968
Ac Sc Pb
2 1 1
direct
0.000 0.500 0.000
0.500 0.000 0.000
0.000 0.000 0.500
0.500 0.500 0.500

---

Entry 5:
FeRu2, optimized geometry, DFT GGA-PBE; formation enthalpy at 0 K = 0.413 eV/atom; SG = P-62m
1.0
6.199 0.000 0.000
-3.100 5.369 0.000
0.000 0.000 3.685
Fe Ru
3 6
direct
0.000 0.000 0.000
0.333 0.667 0.500
0.667 0.333 0.500
0.000 0.253 0.500
0.000 0.597 0.000
0.253 0.000 0.500
0.403 0.403 0.000
0.597 0.000 0.000
0.747 0.747 0.500

---

Entry 6:
ScMn2CdC, optimized geometry, DFT GGA-PBE; formation enthalpy at 0 K = -0.044 eV/atom; SG = P4/mmm
1.0
3.958 0.000 0.000
0.000 3.958 0.000
0.000 0.000 4.465
Sc Mn Cd C
1 2 1 1
direct
0.000 0.000 0.000
0.000 0.500 0.500
0.500 0.000 0.500
0.500 0.500 0.000
0.000 0.000 0.500

---

Entry 7:
Ca2Pm4Dy, optimized geometry, DFT GGA-PBE; formation enthalpy at 0 K = 0.127 eV/atom; SG = Immm; offset from the most stable computed form = 0.000 eV per atom
1.0
-1.788 2.954 11.872
1.788 -2.954 11.872
1.788 2.954 -11.872
Ca Pm Dy
2 4 1
direct
0.221 0.221 0.000
0.779 0.779 0.000
0.080 0.580 0.500
0.371 0.871 0.500
0.629 0.129 0.500
0.920 0.420 0.500
0.500 0.500 0.000

---

Entry 8:
TaCu2Sb, optimized geometry, DFT GGA-PBE; energy relative to the elements, uncorrected = 0.27 eV/atom; SG = P4/mmm
1.0
2.975 0.000 0.000
0.000 2.975 0.000
0.000 0.000 7.819
Ta Cu Sb
1 2 1
direct
0.000 0.000 0.000
0.500 0.500 0.229
0.500 0.500 0.771
0.000 0.000 0.500

---

Entry 9:
Dy4IrSe2S, optimized geometry, DFT GGA-PBE; energy relative to the elements, uncorrected = -1.58 eV/atom; SG = P2/m
1.0
7.086 0.000 0.000
0.000 3.989 0.000
-2.292 0.000 6.751
Dy Ir Se S
4 1 2 1
direct
0.233 0.000 0.224
0.250 0.500 0.769
0.750 0.500 0.231
0.767 0.000 0.776
0.000 0.500 0.000
0.000 0.000 0.500
0.500 0.500 0.500
0.500 0.000 0.000

---

Entry 10:
PmZnGaPd3, optimized geometry, DFT GGA-PBE; formation enthalpy at 0 K = -0.543 eV/atom; SG = Cmcm
1.0
3.317 -6.069 0.000
3.317 6.069 0.000
0.000 0.000 5.744
Pm Zn Ga Pd
2 2 2 6
direct
0.203 0.797 0.750
0.797 0.203 0.250
0.447 0.553 0.750
0.553 0.447 0.250
0.133 0.867 0.250
0.867 0.133 0.750
0.208 0.208 0.000
0.208 0.208 0.500
0.337 0.663 0.250
0.663 0.337 0.750
0.792 0.792 0.000
0.792 0.792 0.500

---

Entry 11:
ZnNi2I, optimized geometry, DFT GGA-PBE; energy relative to the elements, uncorrected = 0.46 eV/atom; SG = I-42d; offset from the most stable computed form = 0.000 eV per atom
1.0
-2.124 2.124 7.914
2.124 -2.124 7.914
2.124 2.124 -7.914
Zn Ni I
2 4 2
direct
0.000 0.000 0.000
0.750 0.250 0.500
0.102 0.625 0.977
0.375 0.352 0.477
0.648 0.125 0.023
0.875 0.898 0.523
0.250 0.750 0.500
0.500 0.500 0.000

---

Entry 12:
KCeCdPb, optimized geometry, DFT GGA-PBE; formation enthalpy at 0 K = -0.087 eV/atom; SG = F-43m
1.0
0.000 4.001 4.001
4.001 0.000 4.001
4.001 4.001 0.000
K Ce Cd Pb
1 1 1 1
direct
0.000 0.000 0.000
0.500 0.500 0.500
0.750 0.750 0.750
0.250 0.250 0.250

---

Number 1: M_tot 0.00 μB per cell, D(E_F) 1.052 states/eV/atom. Number 2: M_tot 0.00 μB per cell, D(E_F) 0.133 states/eV/atom. Number 3: M_tot 5.48 μB per cell, D(E_F) 2.625 states/eV/atom. Number 4: M_tot 0.00 μB per cell, D(E_F) 1.362 states/eV/atom. Number 5: M_tot 2.99 μB per cell, D(E_F) 1.471 states/eV/atom. Number 6: M_tot 3.14 μB per cell, D(E_F) 0.805 states/eV/atom. Number 7: M_tot 0.00 μB per cell, D(E_F) 1.587 states/eV/atom. Number 8: M_tot 0.00 μB per cell, D(E_F) 0.467 states/eV/atom. Number 9: M_tot 0.00 μB per cell, D(E_F) 0.714 states/eV/atom. Number 10: M_tot 0.00 μB per cell, D(E_F) 0.624 states/eV/atom. Number 11: M_tot 0.00 μB per cell, D(E_F) 0.904 states/eV/atom. Number 12: M_tot 1.20 μB per cell, D(E_F) 1.994 states/eV/atom.